Record 1
Computed, not measured: crystalline CaTiF2 at its relaxed geometry at the PBE-GGA level of DFT.

Unit cell a=4.480 b=4.480 c=4.480 alpha=60.00 beta=60.00 gamma=60.00
Fractional coordinates of all 4 atoms:
Ca: 0.000 0.000 0.000
Ti: 0.500 0.500 0.500
F: 0.250 0.250 0.250
F: 0.750 0.750 0.750

## Properties
The value obtained for the density of states at the Fermi level is 0.492 states/eV/atom. As for the electronic total energy: -4.855 eV per atom. The uncorrected formation energy comes out at -1445.4 meV per atom.

---

Record 2
Computed, not measured: crystalline ZnReTe at its relaxed geometry at the PBE-GGA level of DFT.

Unit cell a=7.885 b=7.600 c=3.033 alpha=84.03 beta=73.48 gamma=22.50
Fractional coordinates of all 3 atoms:
Zn: 0.000 0.000 0.000
Re: 0.359 0.359 0.641
Te: 0.710 0.710 0.290

## Properties
The value obtained for the density of states at the Fermi level is 0.861 states/eV/atom. As for the electronic total energy: -4.868 eV per atom. The uncorrected formation energy comes out at 753.4 meV per atom.

---

Record 3
Computed, not measured: crystalline TbSmTh2 at its relaxed geometry at the PBE-GGA level of DFT.

Unit cell a=5.021 b=5.021 c=5.151 alpha=90.00 beta=90.00 gamma=90.00
Fractional coordinates of all 4 atoms:
Tb: 0.000 0.000 0.000
Sm: 0.500 0.500 0.000
Th: 0.000 0.500 0.500
Th: 0.500 0.000 0.500

## Properties
The value obtained for the formation energy is 0.06 eV/atom. The value obtained for the density of states at the Fermi level is 1.529 states/eV/atom. As for the electronic total energy: -5.984 eV per atom.

---

Record 4
Computed, not measured: crystalline TaRh2Br at its relaxed geometry at the PBE-GGA level of DFT.

Unit cell a=6.564 b=6.564 c=6.564 alpha=124.33 beta=124.33 gamma=82.65
Fractional coordinates of all 8 atoms:
Ta: 0.000 0.000 0.000
Ta: 0.750 0.250 0.500
Rh: 0.108 0.625 0.983
Rh: 0.375 0.358 0.483
Rh: 0.642 0.125 0.017
Rh: 0.875 0.892 0.517
Br: 0.250 0.750 0.500
Br: 0.500 0.500 0.000

## Properties
The value obtained for the density of states at the Fermi level is 0.000 states/eV/atom. As for the electronic total energy: -6.687 eV per atom. The uncorrected formation energy comes out at 369.8 meV per atom.

---

Record 5
Computed, not measured: crystalline Ac2TmMg at its relaxed geometry at the PBE-GGA level of DFT.

Unit cell a=4.052 b=4.052 c=8.845 alpha=90.00 beta=90.00 gamma=90.00
Fractional coordinates of all 4 atoms:
Ac: 0.000 0.000 0.236
Ac: 0.000 0.000 0.764
Tm: 0.500 0.500 0.500
Mg: 0.500 0.500 0.000

## Properties
The value obtained for the formation energy is 0.01 eV/atom. The value obtained for the density of states at the Fermi level is 1.285 states/eV/atom. As for the electronic total energy: -3.562 eV per atom.

---

Record 6
Computed, not measured: crystalline Nd3Lu5Al12 at its relaxed geometry at the PBE-GGA level of DFT.

Unit cell a=14.877 b=14.877 c=14.877 alpha=109.47 beta=109.47 gamma=109.47
Fractional coordinates of all 80 atoms:
Nd: 0.125 0.250 0.375
Nd: 0.125 0.375 0.750
Nd: 0.250 0.375 0.125
Nd: 0.250 0.875 0.625
Nd: 0.375 0.125 0.250
Nd: 0.375 0.750 0.125
Nd: 0.625 0.250 0.875
Nd: 0.625 0.875 0.750
Nd: 0.750 0.125 0.375
Nd: 0.750 0.625 0.875
Nd: 0.875 0.625 0.250
Nd: 0.875 0.750 0.625
Lu: 0.000 0.000 0.000
Lu: 0.000 0.000 0.500
Lu: 0.000 0.500 0.000
Lu: 0.000 0.500 0.500
Lu: 0.125 0.750 0.875
Lu: 0.125 0.875 0.250
Lu: 0.250 0.125 0.875
Lu: 0.250 0.625 0.375
Lu: 0.375 0.250 0.625
Lu: 0.375 0.625 0.750
Lu: 0.500 0.000 0.000
Lu: 0.500 0.000 0.500
Lu: 0.500 0.500 0.000
Lu: 0.500 0.500 0.500
Lu: 0.625 0.375 0.250
Lu: 0.625 0.750 0.375
Lu: 0.750 0.375 0.625
Lu: 0.750 0.875 0.125
Lu: 0.875 0.125 0.750
Lu: 0.875 0.250 0.125
Al: 0.068 0.723 0.638
Al: 0.068 0.844 0.429
Al: 0.071 0.656 0.432
Al: 0.071 0.915 0.638
Al: 0.085 0.223 0.156
Al: 0.085 0.362 0.929
Al: 0.138 0.223 0.568
Al: 0.138 0.415 0.571
Al: 0.156 0.085 0.223
Al: 0.156 0.571 0.932
Al: 0.223 0.156 0.085
Al: 0.223 0.568 0.138
Al: 0.277 0.362 0.932
Al: 0.277 0.415 0.344
Al: 0.344 0.277 0.415
Al: 0.344 0.568 0.929
Al: 0.362 0.929 0.085
Al: 0.362 0.932 0.277
Al: 0.415 0.344 0.277
Al: 0.415 0.571 0.138
Al: 0.429 0.068 0.844
Al: 0.429 0.862 0.585
Al: 0.432 0.071 0.656
Al: 0.432 0.862 0.777
Al: 0.568 0.138 0.223
Al: 0.568 0.929 0.344
Al: 0.571 0.138 0.415
Al: 0.571 0.932 0.156
Al: 0.585 0.429 0.862
Al: 0.585 0.656 0.723
Al: 0.638 0.068 0.723
Al: 0.638 0.071 0.915
Al: 0.656 0.432 0.071
Al: 0.656 0.723 0.585
Al: 0.723 0.585 0.656
Al: 0.723 0.638 0.068
Al: 0.777 0.432 0.862
Al: 0.777 0.844 0.915
Al: 0.844 0.429 0.068
Al: 0.844 0.915 0.777
Al: 0.862 0.585 0.429
Al: 0.862 0.777 0.432
Al: 0.915 0.638 0.071
Al: 0.915 0.777 0.844
Al: 0.929 0.085 0.362
Al: 0.929 0.344 0.568
Al: 0.932 0.156 0.571
Al: 0.932 0.277 0.362

## Properties
The value obtained for the formation energy is 0.43 eV/atom. The value obtained for the density of states at the Fermi level is 0.763 states/eV/atom. As for the electronic total energy: -3.656 eV per atom.

---

Record 7
Computed, not measured: crystalline Ba2In5Ir4 at its relaxed geometry at the PBE-GGA level of DFT.

Unit cell a=7.439 b=7.439 c=8.641 alpha=120.54 beta=120.54 gamma=50.93
Fractional coordinates of all 11 atoms:
Ba: 0.233 0.233 0.134
Ba: 0.767 0.767 0.866
In: 0.151 0.668 0.616
In: 0.332 0.849 0.384
In: 0.500 0.500 0.000
In: 0.668 0.151 0.616
In: 0.849 0.332 0.384
Ir: 0.096 0.096 0.668
Ir: 0.289 0.289 0.697
Ir: 0.711 0.711 0.303
Ir: 0.904 0.904 0.332

## Properties
The value obtained for the formation energy is -0.15 eV/atom. The value obtained for the density of states at the Fermi level is 0.531 states/eV/atom. As for the electronic total energy: -4.967 eV per atom.

---

Record 8
Computed, not measured: crystalline AgMo12PbS16 at its relaxed geometry at the PBE-GGA level of DFT.

Unit cell a=9.240 b=9.240 c=9.240 alpha=60.54 beta=60.54 gamma=60.54
Fractional coordinates of all 30 atoms:
Ag: 0.000 0.000 0.000
Mo: 0.038 0.371 0.183
Mo: 0.123 0.315 0.463
Mo: 0.183 0.038 0.371
Mo: 0.315 0.463 0.123
Mo: 0.371 0.183 0.038
Mo: 0.463 0.123 0.315
Mo: 0.537 0.877 0.685
Mo: 0.629 0.817 0.962
Mo: 0.685 0.537 0.877
Mo: 0.817 0.962 0.629
Mo: 0.877 0.685 0.537
Mo: 0.962 0.629 0.817
Pb: 0.500 0.500 0.500
S: 0.004 0.608 0.262
S: 0.114 0.114 0.114
S: 0.114 0.759 0.504
S: 0.241 0.496 0.886
S: 0.262 0.004 0.608
S: 0.380 0.380 0.380
S: 0.392 0.738 0.996
S: 0.496 0.886 0.241
S: 0.504 0.114 0.759
S: 0.608 0.262 0.004
S: 0.620 0.620 0.620
S: 0.738 0.996 0.392
S: 0.759 0.504 0.114
S: 0.886 0.241 0.496
S: 0.886 0.886 0.886
S: 0.996 0.392 0.738

## Properties
The value obtained for the density of states at the Fermi level is 0.742 states/eV/atom. As for the electronic total energy: -7.397 eV per atom. The uncorrected formation energy comes out at -644.4 meV per atom.

---

Record 9
Computed, not measured: crystalline LiTm2Zn at its relaxed geometry at the PBE-GGA level of DFT.

Unit cell a=5.017 b=5.017 c=3.597 alpha=90.00 beta=90.00 gamma=90.00
Fractional coordinates of all 4 atoms:
Li: 0.000 0.000 0.000
Tm: 0.000 0.500 0.500
Tm: 0.500 0.000 0.500
Zn: 0.500 0.500 0.000

## Properties
The value obtained for the formation energy is -0.12 eV/atom. The value obtained for the density of states at the Fermi level is 0.910 states/eV/atom. As for the electronic total energy: -3.157 eV per atom.

---

Record 10
Computed, not measured: crystalline LaSm8Ho3 at its relaxed geometry at the PBE-GGA level of DFT.

Unit cell a=8.768 b=8.768 c=8.768 alpha=136.25 beta=98.62 gamma=97.34
Fractional coordinates of all 12 atoms:
La: 0.000 0.000 0.000
Sm: 0.084 0.252 0.832
Sm: 0.263 0.239 0.503
Sm: 0.263 0.761 0.024
Sm: 0.420 0.252 0.168
Sm: 0.580 0.748 0.832
Sm: 0.737 0.239 0.976
Sm: 0.737 0.761 0.497
Sm: 0.916 0.748 0.168
Ho: 0.267 0.767 0.500
Ho: 0.500 0.500 0.000
Ho: 0.733 0.233 0.500

## Properties
The value obtained for the formation energy is 0.33 eV/atom. The value obtained for the density of states at the Fermi level is 1.436 states/eV/atom. As for the electronic total energy: -4.367 eV per atom.

---

Record 11
Computed, not measured: crystalline PrCuAs2Pd at its relaxed geometry at the PBE-GGA level of DFT.

Unit cell a=6.337 b=6.337 c=6.337 alpha=141.91 beta=141.91 gamma=54.97
Fractional coordinates of all 5 atoms:
Pr: 0.000 0.000 0.000
Cu: 0.250 0.750 0.500
As: 0.379 0.379 0.000
As: 0.621 0.621 0.000
Pd: 0.750 0.250 0.500

## Properties
The value obtained for the formation energy is -0.73 eV/atom. The value obtained for the density of states at the Fermi level is 0.425 states/eV/atom. As for the electronic total energy: -5.400 eV per atom.

---

Record 12
Computed, not measured: crystalline Sr8Ga2Pd at its relaxed geometry at the PBE-GGA level of DFT.

Unit cell a=12.493 b=12.493 c=8.845 alpha=91.06 beta=91.06 gamma=19.88
Fractional coordinates of all 11 atoms:
Sr: 0.011 0.011 0.238
Sr: 0.243 0.243 0.724
Sr: 0.376 0.376 0.997
Sr: 0.386 0.386 0.479
Sr: 0.614 0.614 0.521
Sr: 0.624 0.624 0.003
Sr: 0.757 0.757 0.276
Sr: 0.989 0.989 0.762
Ga: 0.157 0.157 0.276
Ga: 0.843 0.843 0.724
Pd: 0.500 0.500 0.000

## Properties
The value obtained for the formation energy is -0.24 eV/atom. The value obtained for the density of states at the Fermi level is 0.841 states/eV/atom. As for the electronic total energy: -2.490 eV per atom.

---

Record 13
Computed, not measured: crystalline BC4 at its relaxed geometry at the PBE-GGA level of DFT.

Unit cell a=4.494 b=4.494 c=6.398 alpha=117.20 beta=117.20 gamma=32.42
Fractional coordinates of all 10 atoms:
B: 0.000 0.000 0.000
B: 0.604 0.604 0.410
C: 0.007 0.007 0.753
C: 0.208 0.208 0.818
C: 0.222 0.222 0.588
C: 0.401 0.401 0.361
C: 0.409 0.409 0.611
C: 0.618 0.618 0.176
C: 0.802 0.802 0.966
C: 0.806 0.806 0.214

## Properties
The value obtained for the formation energy is 0.28 eV/atom. The value obtained for the density of states at the Fermi level is 0.194 states/eV/atom. As for the electronic total energy: -8.432 eV per atom.

---

Record 14
Computed, not measured: crystalline CeNdTmIn at its relaxed geometry at the PBE-GGA level of DFT.

Unit cell a=5.435 b=5.435 c=5.435 alpha=60.00 beta=60.00 gamma=60.00
Fractional coordinates of all 4 atoms:
Ce: 0.000 0.000 0.000
Nd: 0.250 0.250 0.250
Tm: 0.750 0.750 0.750
In: 0.500 0.500 0.500

## Properties
The value obtained for the formation energy is -0.07 eV/atom. The value obtained for the density of states at the Fermi level is 1.485 states/eV/atom. As for the electronic total energy: -4.548 eV per atom.

---

Record 15
Computed, not measured: crystalline DyEr2Th3Se6 at its relaxed geometry at the PBE-GGA level of DFT.

Unit cell a=6.894 b=6.894 c=7.582 alpha=98.71 beta=98.71 gamma=119.77
Fractional coordinates of all 12 atoms:
Dy: 0.000 0.000 0.000
Er: 0.333 0.667 0.000
Er: 0.667 0.333 0.000
Th: 0.166 0.834 0.500
Th: 0.500 0.500 0.500
Th: 0.834 0.166 0.500
Se: 0.077 0.413 0.231
Se: 0.259 0.259 0.770
Se: 0.413 0.077 0.231
Se: 0.587 0.923 0.769
Se: 0.741 0.741 0.230
Se: 0.923 0.587 0.769

## Properties
The value obtained for the density of states at the Fermi level is 0.657 states/eV/atom. As for the electronic total energy: -6.364 eV per atom. The uncorrected formation energy comes out at -1623.1 meV per atom.

---

Record 16
Computed, not measured: crystalline Ti2CoNiSe at its relaxed geometry at the PBE-GGA level of DFT.

Unit cell a=4.509 b=4.509 c=4.243 alpha=90.00 beta=90.00 gamma=90.00
Fractional coordinates of all 5 atoms:
Ti: 0.000 0.500 0.000
Ti: 0.500 0.000 0.000
Co: 0.000 0.000 0.000
Ni: 0.500 0.500 0.500
Se: 0.000 0.000 0.500

## Properties
The value obtained for the density of states at the Fermi level is 1.549 states/eV/atom. As for the electronic total energy: -6.014 eV per atom. The uncorrected formation energy comes out at 418.3 meV per atom.

---

Record 17
Computed, not measured: crystalline HgRh at its relaxed geometry at the PBE-GGA level of DFT.

Unit cell a=5.452 b=5.452 c=4.481 alpha=90.00 beta=90.00 gamma=147.27
Fractional coordinates of all 4 atoms:
Hg: 0.155 0.845 0.750
Hg: 0.845 0.155 0.250
Rh: 0.423 0.577 0.750
Rh: 0.577 0.423 0.250

## Properties
The value obtained for the formation energy is 0.26 eV/atom. The value obtained for the density of states at the Fermi level is 1.395 states/eV/atom. As for the electronic total energy: -3.568 eV per atom.

---

Record 18
Computed, not measured: crystalline BaFeOs2 at its relaxed geometry at the PBE-GGA level of DFT.

Unit cell a=5.632 b=5.632 c=2.912 alpha=90.00 beta=90.00 gamma=124.44
Fractional coordinates of all 4 atoms:
Ba: 0.000 0.000 0.000
Fe: 0.500 0.500 0.000
Os: 0.000 0.500 0.500
Os: 0.500 0.000 0.500

## Properties
The value obtained for the formation energy is 1.51 eV/atom. The value obtained for the density of states at the Fermi level is 1.329 states/eV/atom. As for the electronic total energy: -6.703 eV per atom.

---

Record 19
Computed, not measured: crystalline CdCu2Cl at its relaxed geometry at the PBE-GGA level of DFT.

Unit cell a=3.995 b=3.150 c=6.159 alpha=90.00 beta=90.11 gamma=90.00
Fractional coordinates of all 4 atoms:
Cd: 0.000 0.000 0.000
Cu: 0.499 0.500 0.809
Cu: 0.501 0.500 0.191
Cl: 0.500 0.000 0.500

## Properties
The value obtained for the density of states at the Fermi level is 0.211 states/eV/atom. As for the electronic total energy: -2.789 eV per atom. The uncorrected formation energy comes out at -50.0 meV per atom.

---

Record 20
Computed, not measured: crystalline CaSnPd3 at its relaxed geometry at the PBE-GGA level of DFT.

Unit cell a=4.985 b=4.985 c=4.985 alpha=90.00 beta=90.00 gamma=90.00
Fractional coordinates of all 5 atoms:
Ca: 0.000 0.000 0.000
Sn: 0.500 0.500 0.500
Pd: 0.000 0.500 0.500
Pd: 0.500 0.000 0.500
Pd: 0.500 0.500 0.000

## Properties
The value obtained for the formation energy is -0.17 eV/atom. The value obtained for the density of states at the Fermi level is 0.380 states/eV/atom. As for the electronic total energy: -4.487 eV per atom.